(1)
Here is a geometry-optimized Re3C4 structure from Alexandria. Energies are from PBE-GGA.

Unit cell a=8.807 b=8.807 c=8.807 alpha=161.67 beta=161.67 gamma=26.04
Fractional positions:
C 0.861 0.861 0.000
Re 0.687 0.687 0.000
C 0.139 0.139 0.000
Re 0.000 0.000 0.000
Re 0.313 0.313 0.000
C 0.564 0.564 0.000
C 0.436 0.436 0.000

Results
Space group: I4/mmm, No. 139
ΔH_f (0 K) (eV per atom): 0.987
Offset from the most stable computed form (eV per atom): 0.036



(2)
Here is a geometry-optimized ReC3 structure from Alexandria. Energies are from PBE-GGA.

Unit cell a=2.559 b=3.197 c=4.721 alpha=65.33 beta=90.00 gamma=90.00
Fractional positions:
C 0.500 0.750 0.750
C 0.000 0.128 0.651
Re 0.500 0.250 0.250
C 0.000 0.372 0.849

Results
Space group: P2/m, No. 10
ΔH_f (0 K) (eV per atom): 1.526
Offset from the most stable computed form (eV per atom): 0.694



(3)
Here is a geometry-optimized Re2C structure from Alexandria. Energies are from PBE-GGA.

Unit cell a=2.893 b=2.893 c=16.479 alpha=90.00 beta=90.00 gamma=120.00
Fractional positions:
Re 0.667 0.333 0.418
C 0.000 0.000 0.500
Re 0.333 0.667 0.730
Re 0.000 0.000 0.078
Re 0.333 0.667 0.582
Re 0.667 0.333 0.270
Re 0.000 0.000 0.922
C 0.667 0.333 0.147
C 0.333 0.667 0.853

Results
Space group: P-3m1, No. 164
ΔH_f (0 K) (eV per atom): 0.906
Offset from the most stable computed form (eV per atom): 0.939



(4)
Here is a geometry-optimized ReC3 structure from Alexandria. Energies are from PBE-GGA.

Unit cell a=2.616 b=7.109 c=3.140 alpha=90.00 beta=90.00 gamma=90.00
Fractional positions:
Re 0.000 0.500 0.042
C 0.500 0.500 0.541
C 0.500 0.000 0.042
C 0.000 0.000 0.042

Results
Space group: Pmmm, No. 47
ΔH_f (0 K) (eV per atom): 1.310
Offset from the most stable computed form (eV per atom): 0.478



(5)
Here is a geometry-optimized Re2C structure from Alexandria. Energies are from PBE-GGA.

Unit cell a=4.168 b=6.152 c=5.741 alpha=90.00 beta=90.00 gamma=90.00
Fractional positions:
Re 0.750 0.866 0.608
Re 0.750 0.366 0.892
Re 0.250 0.052 0.874
Re 0.750 0.448 0.374
Re 0.250 0.552 0.626
C 0.250 0.312 0.078
C 0.750 0.188 0.578
Re 0.750 0.948 0.126
C 0.250 0.812 0.422
C 0.750 0.688 0.922
Re 0.250 0.134 0.392
Re 0.250 0.634 0.108

Results
Space group: Pnma, No. 62
ΔH_f (0 K) (eV per atom): 0.483
Offset from the most stable computed form (eV per atom): 0.516



(6)
Here is a geometry-optimized Re2C structure from Alexandria. Energies are from PBE-GGA.

Unit cell a=5.787 b=5.787 c=2.911 alpha=90.00 beta=90.00 gamma=127.88
Fractional positions:
Re 0.788 0.212 0.500
Re 0.500 0.500 0.500
C 0.650 0.350 0.000
C 0.350 0.650 0.000
Re 0.000 0.000 0.000
Re 0.212 0.788 0.500

Results
Space group: Cmmm, No. 65
ΔH_f (0 K) (eV per atom): 0.946
Offset from the most stable computed form (eV per atom): 0.980



(7)
Here is a geometry-optimized ReC3 structure from Alexandria. Energies are from PBE-GGA.

Unit cell a=2.754 b=2.754 c=5.300 alpha=90.00 beta=90.00 gamma=120.00
Fractional positions:
C 0.667 0.333 0.250
C 0.000 0.000 0.033
Re 0.667 0.333 0.750
C 0.000 0.000 0.467

Results
Space group: P-6m2, No. 187
ΔH_f (0 K) (eV per atom): 2.308
Offset from the most stable computed form (eV per atom): 1.475



(8)
Here is a geometry-optimized Re2C structure from Alexandria. Energies are from PBE-GGA.

Unit cell a=9.879 b=9.879 c=9.879 alpha=164.02 beta=164.02 gamma=22.67
Fractional positions:
C 0.000 0.000 0.000
Re 0.568 0.568 0.000
C 0.750 0.250 0.500
Re 0.318 0.818 0.500
Re 0.182 0.682 0.500
Re 0.432 0.432 0.000

Results
Space group: I4_1/amd, No. 141
ΔH_f (0 K) (eV per atom): 1.025
Offset from the most stable computed form (eV per atom): 1.059



(9)
Here is a geometry-optimized ReC5 structure from Alexandria. Energies are from PBE-GGA.

Unit cell a=3.824 b=3.824 c=4.329 alpha=90.00 beta=90.00 gamma=120.00
Fractional positions:
C 0.667 0.333 0.500
Re 0.000 0.000 0.500
C 0.223 0.223 0.000
C 0.777 0.000 0.000
C 0.000 0.777 0.000
C 0.333 0.667 0.500

Results
Space group: P-62m, No. 189
ΔH_f (0 K) (eV per atom): 2.678
Offset from the most stable computed form (eV per atom): 1.869



(10)
Here is a geometry-optimized Re2C structure from Alexandria. Energies are from PBE-GGA.

Unit cell a=4.192 b=4.192 c=2.781 alpha=90.00 beta=90.00 gamma=120.00
Fractional positions:
C 0.000 0.000 0.000
Re 0.667 0.333 0.500
Re 0.333 0.667 0.500

Results
Space group: P6/mmm, No. 191
ΔH_f (0 K) (eV per atom): 2.253
Offset from the most stable computed form (eV per atom): 2.287



(11)
Here is a geometry-optimized Re2C structure from Alexandria. Energies are from PBE-GGA.

Unit cell a=4.298 b=4.298 c=4.697 alpha=90.00 beta=90.00 gamma=120.00
Fractional positions:
C 0.333 0.667 0.250
Re 0.333 0.667 0.750
C 0.667 0.333 0.750
Re 0.667 0.333 0.250
Re 0.000 0.000 0.000
Re 0.000 0.000 0.500

Results
Space group: P6_3/mmc, No. 194
ΔH_f (0 K) (eV per atom): 1.550
Offset from the most stable computed form (eV per atom): 1.583



(12)
Here is a geometry-optimized Re2C structure from Alexandria. Energies are from PBE-GGA.

Unit cell a=5.020 b=5.020 c=5.020 alpha=148.32 beta=148.32 gamma=45.41
Fractional positions:
C 0.000 0.000 0.000
Re 0.643 0.643 0.000
Re 0.357 0.357 0.000

Results
Space group: I4/mmm, No. 139
ΔH_f (0 K) (eV per atom): 0.646
Offset from the most stable computed form (eV per atom): 0.680



(13)
Here is a geometry-optimized Re3RhC structure from Alexandria. Energies are from PBE-GGA.

Unit cell a=4.652 b=4.652 c=4.652 alpha=90.00 beta=90.00 gamma=90.00
Fractional positions:
Rh 0.000 0.000 0.000
C 0.500 0.500 0.500
Re 0.000 0.000 0.500
Re 0.000 0.500 0.000
Re 0.500 0.000 0.000

Results
Space group: Pm-3m, No. 221
ΔH_f (0 K) (eV per atom): 3.623
Offset from the most stable computed form (eV per atom): 3.357



(14)
Here is a geometry-optimized Re3RhC structure from Alexandria. Energies are from PBE-GGA.

Unit cell a=4.065 b=4.065 c=4.065 alpha=90.00 beta=90.00 gamma=90.00
Fractional positions:
Re 0.000 0.000 0.500
Rh 0.500 0.500 0.500
Re 0.500 0.000 0.000
C 0.000 0.000 0.000
Re 0.000 0.500 0.000

Results
Space group: Pm-3m, No. 221
ΔH_f (0 K) (eV per atom): 0.266
Offset from the most stable computed form (eV per atom): 0.000



(15)
Here is a geometry-optimized Re4Rh2C structure from Alexandria. Energies are from PBE-GGA.

Unit cell a=4.055 b=4.055 c=6.921 alpha=72.97 beta=72.97 gamma=90.00
Fractional positions:
Rh 0.645 0.645 0.710
Re 0.000 0.500 0.000
Re 0.500 0.000 0.000
Re 0.839 0.839 0.323
C 0.000 0.000 0.000
Re 0.161 0.161 0.677
Rh 0.355 0.355 0.290

Results
Space group: I4/mmm, No. 139
ΔH_f (0 K) (eV per atom): 0.554



(16)
Here is a geometry-optimized ReSn2RhC structure from Alexandria. Energies are from PBE-GGA.

Unit cell a=5.205 b=3.890 c=5.205 alpha=90.00 beta=90.00 gamma=90.00
Fractional positions:
Rh 0.500 0.500 0.500
Sn 0.000 0.000 0.500
Re 0.000 0.000 0.000
Sn 0.500 0.000 0.000
C 0.000 0.500 0.000

Results
Space group: P4/mmm, No. 123
ΔH_f (0 K) (eV per atom): 1.049



(17)
Here is a geometry-optimized TiReRh2C structure from Alexandria. Energies are from PBE-GGA.

Unit cell a=4.664 b=4.730 c=4.664 alpha=90.00 beta=90.00 gamma=90.00
Fractional positions:
C 0.500 0.500 0.500
Rh 0.000 0.000 0.500
Re 0.000 0.000 0.000
Rh 0.500 0.000 0.000
Ti 0.000 0.500 0.000

Results
Space group: P4/mmm, No. 123
ΔH_f (0 K) (eV per atom): 2.265



(18)
Here is a geometry-optimized ReRuC2 structure from Alexandria. Energies are from PBE-GGA.

Unit cell a=2.849 b=3.410 c=5.413 alpha=85.19 beta=74.84 gamma=65.20
Fractional positions:
Ru 0.885 0.100 0.464
C 0.857 0.573 0.049
C 0.661 0.693 0.318
Re 0.230 0.984 0.887

Results
Space group: P1, No. 1
ΔH_f (0 K) (eV per atom): 0.697
Offset from the most stable computed form (eV per atom): 0.412



(19)
Here is a geometry-optimized ReRuC2 structure from Alexandria. Energies are from PBE-GGA.

Unit cell a=3.976 b=4.003 c=5.502 alpha=90.00 beta=90.00 gamma=90.00
Fractional positions:
Ru 0.500 0.500 0.953
C 0.000 0.500 0.086
C 0.500 0.000 0.085
Re 0.000 0.000 0.945
C 0.000 0.000 0.586
Ru 0.500 0.000 0.453
C 0.500 0.500 0.585
Re 0.000 0.500 0.445

Results
Space group: Amm2, No. 38
ΔH_f (0 K) (eV per atom): 0.570
Offset from the most stable computed form (eV per atom): 0.285



(20)
Here is a geometry-optimized ReRuC2 structure from Alexandria. Energies are from PBE-GGA.

Unit cell a=2.956 b=4.224 c=7.701 alpha=90.00 beta=111.68 gamma=90.00
Fractional positions:
Ru 0.521 0.500 0.700
C 0.220 0.000 0.403
C 0.220 0.500 0.903
Re 0.122 0.500 0.309
Ru 0.521 0.000 0.200
C 0.420 0.000 0.604
Re 0.122 0.000 0.809
C 0.420 0.500 0.104

Results
Space group: Cm, No. 8
ΔH_f (0 K) (eV per atom): 0.552
Offset from the most stable computed form (eV per atom): 0.267